Below is BaCuSeN2 after structural relaxation, with properties calculated at the PBE-GGA level.

Unit cell a=5.0957 b=5.0957 c=6.4986 alpha=90.00 beta=90.00 gamma=90.00
Last column: nearest neighbours and their distance in Å.
Space group P4/mmm (No. 123)
Symmetry-distinct sites (fractional):
Ba 0.0000 0.0000 0.0000 (multiplicity 1)  4 N 2.55
Cu 0.5000 0.5000 0.5000 (multiplicity 1)  4 Se 3.60
Se 0.0000 0.0000 0.5000 (multiplicity 1)  2 Ba 3.25, 4 Cu 3.60
N 0.0000 0.5000 0.0000 (multiplicity 2)  2 Ba 2.55

## Properties
The value obtained for the distance to the lowest polymorph of the same formula is 1014 meV/atom. The calculation puts the formation energy from raw total energies at 1776 meV/atom. As for the total energy: -17.28 eV/cell.

---

Below is CdNi3 after structural relaxation, with properties calculated at the PBE-GGA level.

Unit cell a=2.8556 b=3.0019 c=6.1244 alpha=90.00 beta=90.00 gamma=90.00
Last column: nearest neighbours and their distance in Å.
Space group Pmmm (No. 47)
Symmetry-distinct sites (fractional):
Cd 0.0000 0.0000 0.0000 (multiplicity 1)  10 Ni 2.74-3.06, 4 Cd 2.86-3.00
Ni 0.0000 0.0000 0.5000 (multiplicity 1)  8 Ni 2.43
Ni 0.5000 0.5000 0.2927 (multiplicity 2)  5 Ni 2.43-2.54

## Properties
As for the total energy: -17.84 eV/cell.

---

Below is CaAuO3 after structural relaxation, with properties calculated at the PBE-GGA level.

Unit cell a=4.3289 b=4.3289 c=4.3289 alpha=90.00 beta=90.00 gamma=90.00
Last column: nearest neighbours and their distance in Å.
Space group Pm-3m (No. 221)
Symmetry-distinct sites (fractional):
Ca 0.0000 0.0000 0.0000 (multiplicity 1)  6 O 2.16
Au 0.5000 0.5000 0.5000 (multiplicity 1)  12 O 3.06
O 0.0000 0.0000 0.5000 (multiplicity 3)  2 Ca 2.16

## Properties
The calculation puts the formation energy from raw total energies at -43 meV/atom. As for the total energy: -20.37 eV/cell.

---

Below is Sc6TcSn2 after structural relaxation, with properties calculated at the PBE-GGA level.

Unit cell a=7.7380 b=7.7380 c=3.9342 alpha=90.00 beta=90.00 gamma=120.00
Last column: nearest neighbours and their distance in Å.
Space group P-62m (No. 189)
Symmetry-distinct sites (fractional):
Sc 0.0000 0.2394 0.0000 (multiplicity 3)  2 Tc 2.70, 2 Sn 3.01
Sc 0.0000 0.6052 0.5000 (multiplicity 3)  1 Tc 3.05, 4 Sn 3.09, 4 Sc 3.31
Tc 0.0000 0.0000 0.5000 (multiplicity 1)  6 Sc 2.70
Sn 0.3333 0.6667 0.0000 (multiplicity 2)  9 Sc 3.01-3.09

## Properties
As for the total energy: -60.63 eV/cell.

---

Below is Ag8GeAu2 after structural relaxation, with properties calculated at the PBE-GGA level.

Unit cell a=10.4431 b=9.3064 c=5.0123 alpha=90.00 beta=110.26 gamma=90.00
Last column: nearest neighbours and their distance in Å.
Space group C2/m (No. 12)
Symmetry-distinct sites (fractional):
Ag 0.0729 0.0000 0.2984 (multiplicity 4)  1 Au 2.78, 7 Ag 2.85-2.98
Ag 0.0849 0.2570 0.8133 (multiplicity 8)  1 Ge 2.71, 5 Ag 2.77-3.02, 1 Au 2.88
Ag 0.2264 0.0000 0.8968 (multiplicity 4)  1 Ge 2.72, 7 Ag 2.77-3.02, 2 Au 2.77-2.86
Ge 0.0000 0.5000 0.0000 (multiplicity 2)  2 Au 2.51, 6 Ag 2.71-2.72
Au 0.1433 0.5000 0.5192 (multiplicity 4)  1 Ge 2.51, 2 Ag 2.77-2.78

## Properties
As for the total energy: -63.73 eV/cell.

---

Below is VHgGe2 after structural relaxation, with properties calculated at the PBE-GGA level.

Unit cell a=6.7351 b=6.7351 c=6.7351 alpha=90.00 beta=90.00 gamma=90.00
Last column: nearest neighbours and their distance in Å.
Space group Fm-3m (No. 225)
Symmetry-distinct sites (fractional):
V 0.0000 0.0000 0.0000 (multiplicity 4)  8 Ge 2.92
Hg 0.0000 0.0000 0.5000 (multiplicity 4)  8 Ge 2.92
Ge 0.2500 0.2500 0.2500 (multiplicity 8)  4 Hg 2.92, 4 V 2.92

## Properties
The value obtained for the distance to the lowest polymorph of the same formula is 409 meV/atom. As for the total energy: -66.76 eV/cell.

---

Below is CsNaNpF6 after structural relaxation, with properties calculated at the PBE-GGA level.

Unit cell a=6.1663 b=6.1663 c=12.5036 alpha=90.00 beta=90.00 gamma=120.00
Last column: nearest neighbours and their distance in Å.
Space group P-31c (No. 163)
Symmetry-distinct sites (fractional):
Cs 0.0000 0.0000 0.0000 (multiplicity 2)  6 F 3.03
Na 0.3333 0.6667 0.2500 (multiplicity 2)  6 F 2.37
Np 0.3333 0.6667 0.7500 (multiplicity 2)  6 F 2.17
F 0.0235 0.3896 0.6546 (multiplicity 12)  1 Np 2.17, 1 Na 2.37

## Properties
The calculation puts the formation energy from raw total energies at -3229 meV/atom. As for the total energy: -110.81 eV/cell.

---

Below is CsNaGa2 after structural relaxation, with properties calculated at the PBE-GGA level.

Unit cell a=5.2212 b=5.2212 c=22.3524 alpha=90.00 beta=90.00 gamma=90.00
Last column: nearest neighbours and their distance in Å.
Space group I-42d (No. 122)
Symmetry-distinct sites (fractional):
Cs 0.0000 0.0000 0.0000 (multiplicity 4)  4 Na 3.69, 4 Ga 3.86
Na 0.0000 0.0000 0.5000 (multiplicity 4)  4 Ga 3.10
Ga 0.0565 0.2500 0.6250 (multiplicity 8)  2 Ga 2.68

## Properties
The value obtained for the distance to the lowest polymorph of the same formula is 164 meV/atom. As for the total energy: -30.60 eV/cell.

---

Below is InAg2Te3 after structural relaxation, with properties calculated at the PBE-GGA level.

Unit cell a=7.9479 b=13.7558 c=7.8559 alpha=90.00 beta=109.31 gamma=90.00
Last column: nearest neighbours and their distance in Å.
Space group Cc (No. 9)
Symmetry-distinct sites (fractional):
In 0.0000 0.0864 0.0000 (multiplicity 4)  4 Te 2.82-2.87
Ag 0.0050 0.2485 0.5104 (multiplicity 4)  4 Te 2.77-2.80
Ag 0.0159 0.4178 0.0128 (multiplicity 4)  4 Te 2.76-2.82
Te 0.1239 0.4147 0.3846 (multiplicity 4)  3 Ag 2.76-2.78, 1 In 2.82
Te 0.1358 0.2547 0.8832 (multiplicity 4)  3 Ag 2.76-2.77, 1 In 2.83
Te 0.1401 0.0851 0.3873 (multiplicity 4)  2 Ag 2.80-2.82, 2 In 2.87

## Properties
The calculation puts the formation energy from raw total energies at -173 meV/atom. As for the total energy: -75.61 eV/cell.

---

Below is SbAsSCl2 after structural relaxation, with properties calculated at the PBE-GGA level.

Unit cell a=5.2135 b=5.2135 c=5.3395 alpha=90.00 beta=90.00 gamma=90.00
Last column: nearest neighbours and their distance in Å.
Space group P4/mmm (No. 123)
Symmetry-distinct sites (fractional):
Sb 0.0000 0.0000 0.0000 (multiplicity 1)  4 Cl 2.61, 2 S 2.67
As 0.5000 0.5000 0.5000 (multiplicity 1)  4 S 3.69, 8 Cl 3.73
S 0.0000 0.0000 0.5000 (multiplicity 1)  2 Sb 2.67
Cl 0.0000 0.5000 0.0000 (multiplicity 2)  2 Sb 2.61

## Properties
The value obtained for the distance to the lowest polymorph of the same formula is 62 meV/atom. The calculation puts the formation energy from raw total energies at 253 meV/atom. As for the total energy: -15.33 eV/cell.

---

Below is SmYHg after structural relaxation, with properties calculated at the PBE-GGA level.

Unit cell a=5.1695 b=5.1695 c=3.8051 alpha=90.00 beta=90.00 gamma=120.00
Last column: nearest neighbours and their distance in Å.
Space group P3m1 (No. 156)
Symmetry-distinct sites (fractional):
Sm 0.0000 0.0000 0.0000 (multiplicity 1)  3 Hg 3.24, 6 Y 3.47-3.62
Y 0.3333 0.6667 0.4632 (multiplicity 1)  3 Hg 3.08
Hg 0.6667 0.3333 0.6673 (multiplicity 1)  3 Y 3.08, 3 Sm 3.24

## Properties
The value obtained for the distance to the lowest polymorph of the same formula is 175 meV/atom. As for the total energy: -12.05 eV/cell.

---

Below is Rb3CaCl after structural relaxation, with properties calculated at the PBE-GGA level.

Unit cell a=6.6583 b=6.6583 c=6.6583 alpha=90.00 beta=90.00 gamma=90.00
Last column: nearest neighbours and their distance in Å.
Space group Pm-3m (No. 221)
Symmetry-distinct sites (fractional):
Rb 0.0000 0.0000 0.5000 (multiplicity 3)  2 Cl 3.33
Ca 0.5000 0.5000 0.5000 (multiplicity 1)  12 Rb 4.71
Cl 0.0000 0.0000 0.0000 (multiplicity 1)  6 Rb 3.33

## Properties
The value obtained for the distance to the lowest polymorph of the same formula is 0 meV/atom. The calculation puts the formation energy from raw total energies at -567 meV/atom. As for the total energy: -9.59 eV/cell.